# 1
A plane-wave DFT calculation with PBE was carried out for a relaxed structure of MnVSiAu2.

Cell: 4.9667 3.9804 4.9667 Å, 90.00 90.00 90.00°
Positions (direct):
Mn (0.0000, 0.5000, 0.0000)
Au (0.0000, 0.0000, 0.5000)
Au (0.5000, 0.0000, 0.0000)
V (0.0000, 0.0000, 0.0000)
Si (0.5000, 0.5000, 0.5000)

Final energy   -4.900 eV/atom
Theoretical density   8.93 g/cm³
V   19.6 A^3/atom
Crystal system   tetragonal
Uncorrected formation energy   1.15 eV per atom

---

# 2
A plane-wave DFT calculation with PBE was carried out for a relaxed structure of ZrMn2SiAu.

Cell: 4.4242 4.4242 4.6152 Å, 90.00 90.00 90.00°
Positions (direct):
Mn (0.5000, 0.0000, 0.0000)
Zr (0.5000, 0.5000, 0.5000)
Si (0.0000, 0.0000, 0.0000)
Mn (0.0000, 0.5000, 0.0000)
Au (0.0000, 0.0000, 0.5000)

Final energy   -6.808 eV/atom
Theoretical density   7.83 g/cm³
V   18.1 A^3/atom
Crystal system   tetragonal
Uncorrected formation energy   0.31 eV per atom

---

# 3
A plane-wave DFT calculation with PBE was carried out for a relaxed structure of TbSmMnAu.

Cell: 5.1229 5.1229 5.1229 Å, 60.00 60.00 60.00°
Positions (direct):
Sm (0.0000, 0.0000, 0.0000)
Tb (0.5000, 0.5000, 0.5000)
Mn (0.2500, 0.2500, 0.2500)
Au (0.7500, 0.7500, 0.7500)

Final energy   -5.673 eV/atom
Theoretical density   9.80 g/cm³
V   23.8 A^3/atom
Crystal system   cubic

---

# 4
A plane-wave DFT calculation with PBE was carried out for a relaxed structure of MnSn2Au.

Cell: 4.7669 4.7669 4.7669 Å, 60.00 60.00 60.00°
Positions (direct):
Mn (0.0000, 0.0000, 0.0000)
Sn (0.2500, 0.2500, 0.2500)
Sn (0.7500, 0.7500, 0.7500)
Au (0.5000, 0.5000, 0.5000)

Final energy   -4.604 eV/atom
ΔE to the lowest computed polymorph   398 meV/atom
Theoretical density   10.61 g/cm³
V   19.1 A^3/atom
Crystal system   cubic

---

# 5
A plane-wave DFT calculation with PBE was carried out for a relaxed structure of MnSn2Au.

Cell: 3.3410 5.0020 5.0020 Å, 90.00 90.00 90.00°
Positions (direct):
Sn (0.0000, 0.0000, 0.5000)
Au (0.5000, 0.5000, 0.5000)
Sn (0.0000, 0.5000, 0.0000)
Mn (0.5000, 0.0000, 0.0000)

Final energy   -5.002 eV/atom
ΔE to the lowest computed polymorph   0 meV/atom
Theoretical density   9.72 g/cm³
V   20.9 A^3/atom
Crystal system   tetragonal

---

# 6
A plane-wave DFT calculation with PBE was carried out for a relaxed structure of MnSnAu3.

Cell: 5.1725 5.1725 5.1725 Å, 90.00 90.00 90.00°
Positions (direct):
Sn (0.0000, 0.0000, 0.0000)
Au (0.0000, 0.5000, 0.0000)
Mn (0.5000, 0.5000, 0.5000)
Au (0.0000, 0.0000, 0.5000)
Au (0.5000, 0.0000, 0.0000)

Final energy   -3.879 eV/atom
ΔE to the lowest computed polymorph   0 meV/atom
Theoretical density   9.17 g/cm³
V   27.7 A^3/atom
Crystal system   cubic